Entry from the Alexandria database: crystalline PmDy12Er6 at its relaxed geometry (GGA-PBE).

Cell and atoms, written as POSCAR:
```
PmDy12Er6
1.0
8.971 -1.160 -2.010
-2.241 8.763 -2.010
-1.027 -1.160 9.136
Pm Dy Er
1 12 6
direct
0.000 0.000 0.000
0.889 0.111 0.500
0.367 0.148 0.367
0.367 0.367 0.148
0.852 0.633 0.633
0.633 0.633 0.852
0.633 0.852 0.633
0.500 0.889 0.111
0.111 0.500 0.889
0.111 0.889 0.500
0.500 0.111 0.889
0.889 0.500 0.111
0.148 0.367 0.367
0.687 0.265 0.687
0.687 0.687 0.265
0.265 0.687 0.687
0.313 0.313 0.735
0.313 0.735 0.313
0.735 0.313 0.313
```

M_tot: 0.0 μB/cell
formation energy from the elements: 0.4401 eV/atom
offset from the most stable computed form: 284 meV/atom
theoretical density: 7.94 g/cm3

***

Entry from the Alexandria database: crystalline Pm2Dy6Er at its relaxed geometry (GGA-PBE).

Cell and atoms, written as POSCAR:
```
Pm2Dy6Er
1.0
-1.949 -1.817 -6.009
-2.054 -9.210 1.710
-9.052 3.159 0.240
Pm Dy Er
4 12 2
direct
0.128 0.619 0.669
0.372 0.331 0.381
0.872 0.381 0.331
0.628 0.669 0.619
0.505 0.651 0.277
0.995 0.723 0.349
0.495 0.349 0.723
0.005 0.277 0.651
0.728 0.059 0.462
0.772 0.538 0.941
0.272 0.941 0.538
0.228 0.462 0.059
0.315 0.778 0.959
0.185 0.041 0.222
0.685 0.222 0.041
0.815 0.959 0.778
0.250 0.118 0.882
0.750 0.882 0.118
```

M_tot: 0.0 μB/cell
formation energy from the elements: 0.1127 eV/atom
theoretical density: 8.17 g/cm3